Record 1
Entry from the Alexandria database: LiPaTiRe after structural relaxation (GGA-PBE).

Results
* total magnetization: 0.04 μB/cell
* ΔE_f: 80 meV per atom

Cell and atoms, written as CIF:
```
data_LiPaTiRe
_space_group_name_H-M_alt 'F -4 3 m'
_space_group_IT_number 216
_space_group_name_Hall 'F -4 2 3'
_cell_length_a 6.590
_cell_length_b 6.590
_cell_length_c 6.590
_cell_angle_alpha 90.00
_cell_angle_beta 90.00
_cell_angle_gamma 90.00
loop_
_atom_site_label
_atom_site_type_symbol
_atom_site_fract_x
_atom_site_fract_y
_atom_site_fract_z
Li1 Li 0.000 0.000 0.000
Pa1 Pa 0.250 0.250 0.250
Ti1 Ti 0.250 0.250 0.750
Re1 Re 0.000 0.000 0.500
```

---

Record 2
Entry from the Alexandria database: Zr2BeGaC after structural relaxation (GGA-PBE).

Results
* total magnetization: 0.00 μB/cell
* ΔE_f: -574 meV per atom

Cell and atoms, written as CIF:
```
data_Zr2BeGaC
_space_group_name_H-M_alt 'P 1 21/m 1'
_space_group_IT_number 11
_space_group_name_Hall '-P 2yb'
_cell_length_a 6.062
_cell_length_b 3.446
_cell_length_c 7.637
_cell_angle_alpha 90.00
_cell_angle_beta 108.00
_cell_angle_gamma 90.00
loop_
_atom_site_label
_atom_site_type_symbol
_atom_site_fract_x
_atom_site_fract_y
_atom_site_fract_z
Zr1 Zr 0.207 0.250 0.385
Zr2 Zr 0.214 0.250 0.971
Be1 Be 0.459 0.750 0.245
Ga1 Ga 0.293 0.750 0.695
C1 C 0.168 0.750 0.169
```

---

Record 3
Entry from the Alexandria database: AcGdMgPd after structural relaxation (GGA-PBE).

Results
* total magnetization: 28.63 μB/cell
* ΔE_f: -307 meV per atom

Cell and atoms, written as CIF:
```
data_AcGdMgPd
_space_group_name_H-M_alt 'F -4 3 m'
_space_group_IT_number 216
_space_group_name_Hall 'F -4 2 3'
_cell_length_a 7.632
_cell_length_b 7.632
_cell_length_c 7.632
_cell_angle_alpha 90.00
_cell_angle_beta 90.00
_cell_angle_gamma 90.00
loop_
_atom_site_label
_atom_site_type_symbol
_atom_site_fract_x
_atom_site_fract_y
_atom_site_fract_z
Ac1 Ac 0.000 0.000 0.000
Gd1 Gd 0.000 0.000 0.500
Mg1 Mg 0.250 0.250 0.250
Pd1 Pd 0.250 0.250 0.750
```

---

Record 4
Entry from the Alexandria database: BaYSb2 after structural relaxation (GGA-PBE).

Results
* total magnetization: 0.00 μB/cell
* ΔE_f (raw): -0.045 eV per atom

Cell and atoms, written as CIF:
```
data_BaYSb2
_space_group_name_H-M_alt 'R 3 m'
_space_group_IT_number 160
_space_group_name_Hall 'R 3 -2"'
_cell_length_a 4.0120
_cell_length_b 4.0120
_cell_length_c 31.0206
_cell_angle_alpha 90.00
_cell_angle_beta 90.00
_cell_angle_gamma 120.00
loop_
_atom_site_label
_atom_site_type_symbol
_atom_site_fract_x
_atom_site_fract_y
_atom_site_fract_z
Ba1 Ba 0.0000 0.0000 0.0000
Y1 Y 0.0000 0.0000 0.7759
Sb1 Sb 0.0000 0.0000 0.2433
Sb2 Sb 0.0000 0.0000 0.5133
```

---

Record 5
Entry from the Alexandria database: LaTb2Sb2 after structural relaxation (GGA-PBE).

Results
* total magnetization: 0.00 μB/cell
* ΔE_f (raw): -0.708 eV per atom

Cell and atoms, written as CIF:
```
data_LaTb2Sb2
_space_group_name_H-M_alt 'C 1 2/c 1'
_space_group_IT_number 15
_space_group_name_Hall '-C 2yc'
_cell_length_a 10.439
_cell_length_b 12.186
_cell_length_c 6.277
_cell_angle_alpha 90.00
_cell_angle_beta 123.51
_cell_angle_gamma 90.00
loop_
_atom_site_label
_atom_site_type_symbol
_atom_site_fract_x
_atom_site_fract_y
_atom_site_fract_z
La1 La 0.000 0.107 0.250
Tb1 Tb 0.174 0.403 0.985
Sb1 Sb 0.000 0.176 0.750
Sb2 Sb 0.000 0.377 0.250
```

---

Record 6
Entry from the Alexandria database: SrAlHg2S after structural relaxation (GGA-PBE).

Results
* total magnetization: 0.04 μB/cell
* ΔE_f (raw): 0.764 eV per atom

Cell and atoms, written as CIF:
```
data_SrAlHg2S
_space_group_name_H-M_alt 'P 4/m m m'
_space_group_IT_number 123
_space_group_name_Hall '-P 4 2'
_cell_length_a 6.025
_cell_length_b 6.025
_cell_length_c 6.271
_cell_angle_alpha 90.00
_cell_angle_beta 90.00
_cell_angle_gamma 90.00
loop_
_atom_site_label
_atom_site_type_symbol
_atom_site_fract_x
_atom_site_fract_y
_atom_site_fract_z
Sr1 Sr 0.000 0.000 0.000
Al1 Al 0.000 0.000 0.500
Hg1 Hg 0.000 0.500 0.000
S1 S 0.500 0.500 0.500
```

---

Record 7
Entry from the Alexandria database: CsRb2F3 after structural relaxation (GGA-PBE).

Results
* total magnetization: 0.47 μB/cell
* ΔE_f (raw): -2.528 eV per atom

Cell and atoms, written as CIF:
```
data_CsRb2F3
_space_group_name_H-M_alt 'C m c m'
_space_group_IT_number 63
_space_group_name_Hall '-C 2c 2'
_cell_length_a 4.389
_cell_length_b 16.674
_cell_length_c 10.868
_cell_angle_alpha 90.00
_cell_angle_beta 90.00
_cell_angle_gamma 90.00
loop_
_atom_site_label
_atom_site_type_symbol
_atom_site_fract_x
_atom_site_fract_y
_atom_site_fract_z
Cs1 Cs 0.000 0.137 0.250
Rb1 Rb 0.000 0.100 0.750
Rb2 Rb 0.000 0.500 0.000
F1 F 0.000 0.110 0.506
F2 F 0.000 0.491 0.750
```

---

Record 8
Entry from the Alexandria database: Na2CrRe after structural relaxation (GGA-PBE).

Results
* total magnetization: 5.90 μB/cell
* ΔE_f: 1528 meV per atom

Cell and atoms, written as CIF:
```
data_Na2CrRe
_space_group_name_H-M_alt 'I -4 2 d'
_space_group_IT_number 122
_space_group_name_Hall 'I -4 2bw'
_cell_length_a 8.291
_cell_length_b 8.291
_cell_length_c 4.909
_cell_angle_alpha 90.00
_cell_angle_beta 90.00
_cell_angle_gamma 90.00
loop_
_atom_site_label
_atom_site_type_symbol
_atom_site_fract_x
_atom_site_fract_y
_atom_site_fract_z
Na1 Na 0.236 0.250 0.125
Cr1 Cr 0.000 0.000 0.000
Re1 Re 0.000 0.000 0.500
```